The following is a meta-GGA SCAN calculation of a crystal of NaWI3 relaxed with PBEsol, from the Alexandria database.

Output
* energy relative to the elements, uncorrected: 1.1170 eV per atom
* M_tot: 4.0 μB per formula unit

a b c (Å): 5.5523 5.5523 5.5523
angles (deg): 90.00 90.00 90.00
Element x y z (fractional)
Na 0.0000 0.0000 0.0000
W 0.5000 0.5000 0.5000
I 0.0000 0.0000 0.5000
I 0.0000 0.5000 0.0000
I 0.5000 0.0000 0.0000

***

The following is a meta-GGA SCAN calculation of a crystal of NaW2I2 relaxed with PBEsol, from the Alexandria database.

Output
* energy relative to the elements, uncorrected: 1.1123 eV per atom
* M_tot: 0.8 μB per formula unit

a b c (Å): 5.8859 5.8859 5.8859
angles (deg): 128.57 128.57 75.70
Element x y z (fractional)
Na 0.0000 0.0000 0.0000
W 0.3763 0.3763 0.0000
W 0.6237 0.6237 0.0000
I 0.2500 0.7500 0.5000
I 0.7500 0.2500 0.5000

***

The following is a meta-GGA SCAN calculation of a crystal of Na2ZrI relaxed with PBEsol, from the Alexandria database.

Output
* energy relative to the elements, uncorrected: 0.5038 eV per atom
* M_tot: 4.1 μB per formula unit

a b c (Å): 5.5654 5.5654 5.5654
angles (deg): 60.00 60.00 60.00
Element x y z (fractional)
Na 0.2500 0.2500 0.2500
Na 0.7500 0.7500 0.7500
Zr 0.0000 0.0000 0.0000
I 0.5000 0.5000 0.5000

***

The following is a meta-GGA SCAN calculation of a crystal of NaZr3I relaxed with PBEsol, from the Alexandria database.

Output
* energy relative to the elements, uncorrected: 1.4292 eV per atom
* M_tot: 1.2 μB per formula unit

a b c (Å): 5.0027 5.0027 5.0027
angles (deg): 90.00 90.00 90.00
Element x y z (fractional)
Na 0.0000 0.0000 0.0000
Zr 0.0000 0.0000 0.5000
Zr 0.0000 0.5000 0.0000
Zr 0.5000 0.0000 0.0000
I 0.5000 0.5000 0.5000